No. 1
Below is a relaxed structure of KRb2NaSc, with properties calculated at the PBE level.

Values from the calculation:
As for the density of states at the Fermi level: 1.810 states/eV per atom. The calculated volume is 79.67 A^3/atom. The value obtained for the formation energy is 0.729 eV/atom.

Cell lengths 7.3796, 7.3796, 7.3144 Å; angles 90.00, 90.00, 90.00 degrees
Space group P4/mmm (No. 123)
Unique sites:
K 0.0000 0.0000 0.0000
Rb 0.0000 0.5000 0.5000
Na 0.5000 0.5000 0.0000
Sc 0.0000 0.0000 0.5000

***

No. 2
Below is a relaxed structure of MnSiIr3, with properties calculated at the PBE level.

Values from the calculation:
As for the density of states at the Fermi level: 0.864 states/eV per atom. The polymorph energy (0 for the lowest one) comes out at 0.0000 eV/atom. The calculated volume is 17.23 A^3/atom. The uncorrected formation energy is 2.78 eV per formula unit.

Cell lengths 4.4166, 4.4166, 4.4166 Å; angles 90.00, 90.00, 90.00 degrees
Space group Pm-3m (No. 221)
Unique sites:
Mn 0.0000 0.0000 0.0000
Si 0.5000 0.5000 0.5000
Ir 0.0000 0.5000 0.5000